# 1
First-principles (PBE-GGA) data for an optimized crystal structure of Ce2DyIn9, as listed in Alexandria.

```
12
Lattice="4.686 0.000 0.000 0.000 4.686 0.000 0.000 0.000 14.042" Properties=species:S:1:pos:R:3 pbc="T T T"
Ce 0.000 0.000 2.376
Ce 0.000 0.000 11.667
Dy 0.000 0.000 7.021
In 0.000 2.343 0.000
In 0.000 2.343 4.721
In 0.000 2.343 9.321
In 2.343 0.000 0.000
In 2.343 0.000 4.721
In 2.343 0.000 9.321
In 2.343 2.343 2.342
In 2.343 2.343 7.021
In 2.343 2.343 11.700
```

Calculated values
* symmetry: P4/mmm, No. 123
* density: 7.949 g cm⁻³
* electronic total energy: -46.1 eV for the cell shown

# 2
First-principles (PBE-GGA) data for an optimized crystal structure of ThFeC, as listed in Alexandria.

```
3
Lattice="3.476 0.000 0.000 -1.738 3.010 0.000 0.000 0.000 4.234" Properties=species:S:1:pos:R:3 pbc="T T T"
Th 0.000 0.000 0.000
Fe 1.738 1.003 2.117
C 0.000 2.007 2.117
```

Calculated values
* offset from the most stable computed form: 0.189 eV per atom
* symmetry: P-6m2, No. 187
* density: 11.242 g cm⁻³
* electronic total energy: -25.0 eV for the cell shown

# 3
First-principles (PBE-GGA) data for an optimized crystal structure of Rb2YNbC, as listed in Alexandria.

```
5
Lattice="6.502 0.000 0.000 0.000 6.502 0.000 0.000 0.000 4.144" Properties=species:S:1:pos:R:3 pbc="T T T"
Rb 0.000 3.251 0.000
Rb 3.251 0.000 0.000
Y 0.000 0.000 2.072
Nb 3.251 3.251 2.072
C 3.251 3.251 0.000
```

Calculated values
* symmetry: P4/mmm, No. 123
* density: 3.458 g cm⁻³
* electronic total energy: -21.2 eV for the cell shown

# 4
First-principles (PBE-GGA) data for an optimized crystal structure of NaEr2F8, as listed in Alexandria.

```
11
Lattice="6.836 -1.951 0.000 6.836 1.951 0.000 -1.462 0.000 6.685" Properties=species:S:1:pos:R:3 pbc="T T T"
Na 0.000 0.000 0.000
Er 2.186 0.000 4.963
Er 10.024 0.000 1.722
F 0.059 0.000 5.005
F 3.082 0.000 0.641
F 3.448 0.000 3.083
F 4.215 0.000 5.781
F 7.995 0.000 0.905
F 8.762 0.000 3.602
F 9.129 0.000 6.044
F 12.152 0.000 1.680
```

Calculated values
* raw formation energy: -329 kJ per mole of atoms
* symmetry: C2/m, No. 12
* density: 4.744 g cm⁻³
* electronic total energy: -62.9 eV for the cell shown

Question: The lowest density belongs to which entry?
Answer: Rb2YNbC

Question: What is the formula in the first record?
Answer: Ce2DyIn9